No. 1
The following is a PBE calculation of an optimized crystal structure of Ta2CuO6, from Alexandria.

Cell and atoms, written as POSCAR:
```
Ta2CuO6
1.0
-2.851 3.742 2.632
2.851 -3.742 2.632
2.851 3.742 -2.632
Ta Cu O
2 1 6
direct
0.248 0.000 0.248
0.752 0.000 0.752
0.915 0.415 0.500
0.106 0.106 0.000
0.356 0.856 0.500
0.603 0.066 0.088
0.603 0.516 0.537
0.978 0.066 0.463
0.978 0.516 0.912
```

Output
The calculation puts the raw formation energy at -2.2566 eV per atom. Its total DFT energy (no corrections) is -77.86 eV per formula unit. The value obtained for the energy above the most stable polymorph in this dataset is 0.038 eV/atom.

---

No. 2
The following is a PBE calculation of an optimized crystal structure of TaCu3O, from Alexandria.

Cell and atoms, written as POSCAR:
```
TaCu3O
1.0
4.027 0.000 0.000
0.000 4.027 0.000
0.000 0.000 4.027
Ta Cu O
1 3 1
direct
0.000 0.000 0.000
0.000 0.500 0.500
0.500 0.000 0.500
0.500 0.500 0.000
0.500 0.500 0.500
```

Output
The calculation puts the raw formation energy at 0.4684 eV per atom. Its total DFT energy (no corrections) is -26.76 eV per formula unit. The value obtained for the energy above the most stable polymorph in this dataset is 0.000 eV/atom.

---

No. 3
The following is a PBE calculation of an optimized crystal structure of Ta2CuO, from Alexandria.

Cell and atoms, written as POSCAR:
```
Ta2CuO
1.0
-2.412 2.412 5.784
2.412 -2.412 5.784
2.412 2.412 -5.784
Ta Cu O
4 2 2
direct
0.036 0.625 0.911
0.375 0.286 0.411
0.714 0.125 0.089
0.875 0.964 0.589
0.250 0.750 0.500
0.500 0.500 0.000
0.000 0.000 0.000
0.750 0.250 0.500
```

Output
The calculation puts the raw formation energy at -0.1826 eV per atom. Its total DFT energy (no corrections) is -33.49 eV per formula unit.

---

No. 4
The following is a PBE calculation of an optimized crystal structure of TaCu3O, from Alexandria.

Cell and atoms, written as POSCAR:
```
TaCu3O
1.0
4.790 0.000 0.000
0.000 4.790 0.000
0.000 0.000 4.790
Ta Cu O
1 3 1
direct
0.000 0.000 0.000
0.000 0.000 0.500
0.000 0.500 0.000
0.500 0.000 0.000
0.500 0.500 0.500
```

Output
The calculation puts the raw formation energy at 2.0253 eV per atom. Its total DFT energy (no corrections) is -18.97 eV per formula unit. The value obtained for the energy above the most stable polymorph in this dataset is 1.557 eV/atom.

---

No. 5
The following is a PBE calculation of an optimized crystal structure of Ta16Cu9O48, from Alexandria.

Cell and atoms, written as POSCAR:
```
Ta16Cu9O48
1.0
0.000 7.604 7.614
7.584 0.000 7.614
7.584 7.604 0.000
Ta Cu O
16 9 48
direct
0.121 0.630 0.126
0.123 0.126 0.630
0.123 0.625 0.623
0.126 0.123 0.121
0.370 0.879 0.877
0.371 0.377 0.375
0.375 0.877 0.371
0.377 0.371 0.877
0.623 0.629 0.123
0.625 0.123 0.629
0.629 0.623 0.625
0.630 0.121 0.123
0.874 0.877 0.879
0.877 0.375 0.377
0.877 0.874 0.370
0.879 0.370 0.874
0.000 0.500 0.000
0.249 0.751 0.249
0.250 0.250 0.250
0.252 0.748 0.748
0.500 0.000 0.500
0.500 0.500 0.500
0.748 0.252 0.252
0.750 0.750 0.750
0.751 0.249 0.751
0.002 0.499 0.812
0.003 0.203 0.997
0.006 0.299 0.701
0.061 0.939 0.256
0.063 0.247 0.437
0.064 0.754 0.744
0.188 0.313 0.998
0.202 0.494 0.506
0.203 0.003 0.797
0.242 0.758 0.437
0.246 0.936 0.563
0.247 0.063 0.253
0.253 0.437 0.247
0.256 0.563 0.936
0.256 0.744 0.061
0.299 0.006 0.994
0.312 0.501 0.688
0.313 0.188 0.501
0.437 0.253 0.063
0.437 0.563 0.242
0.437 0.744 0.754
0.494 0.202 0.798
0.499 0.002 0.687
0.499 0.688 0.501
0.501 0.312 0.499
0.501 0.998 0.313
0.506 0.798 0.202
0.563 0.256 0.246
0.563 0.437 0.758
0.563 0.747 0.937
0.687 0.812 0.499
0.688 0.499 0.312
0.701 0.994 0.006
0.744 0.256 0.939
0.744 0.437 0.064
0.747 0.563 0.753
0.753 0.937 0.747
0.754 0.064 0.437
0.758 0.242 0.563
0.797 0.997 0.203
0.798 0.506 0.494
0.812 0.687 0.002
0.936 0.246 0.256
0.937 0.753 0.563
0.939 0.061 0.744
0.994 0.701 0.299
0.997 0.797 0.003
0.998 0.501 0.188
```

Output
The calculation puts the raw formation energy at -2.2830 eV per atom. Its total DFT energy (no corrections) is -631.16 eV per formula unit.

---

No. 6
The following is a PBE calculation of an optimized crystal structure of Ta2CuO6, from Alexandria.

Cell and atoms, written as POSCAR:
```
Ta2CuO6
1.0
4.801 0.000 0.000
0.000 4.801 0.000
0.000 0.000 9.174
Ta Cu O
4 2 12
direct
0.000 0.000 0.169
0.000 0.000 0.831
0.500 0.500 0.331
0.500 0.500 0.669
0.000 0.000 0.500
0.500 0.500 0.000
0.188 0.188 0.000
0.204 0.204 0.324
0.204 0.204 0.676
0.296 0.704 0.176
0.296 0.704 0.824
0.312 0.688 0.500
0.688 0.312 0.500
0.704 0.296 0.176
0.704 0.296 0.824
0.796 0.796 0.324
0.796 0.796 0.676
0.812 0.812 0.000
```

Output
The calculation puts the raw formation energy at -2.2771 eV per atom. Its total DFT energy (no corrections) is -78.04 eV per formula unit. The value obtained for the energy above the most stable polymorph in this dataset is 0.018 eV/atom.

---

No. 7
The following is a PBE calculation of an optimized crystal structure of Ta2CuO6, from Alexandria.

Cell and atoms, written as POSCAR:
```
Ta2CuO6
1.0
4.957 -1.914 0.000
4.957 1.914 0.000
-2.583 0.000 5.915
Ta Cu O
2 1 6
direct
0.183 0.183 0.148
0.817 0.817 0.852
0.000 0.000 0.500
0.012 0.012 0.212
0.304 0.304 0.930
0.344 0.344 0.414
0.656 0.656 0.586
0.696 0.696 0.070
0.988 0.988 0.788
```

Output
The calculation puts the raw formation energy at -2.2290 eV per atom. Its total DFT energy (no corrections) is -77.61 eV per formula unit. The value obtained for the energy above the most stable polymorph in this dataset is 0.066 eV/atom.

---

No. 8
The following is a PBE calculation of an optimized crystal structure of Ta2CuO6, from Alexandria.

Cell and atoms, written as POSCAR:
```
Ta2CuO6
1.0
-3.760 3.811 3.822
3.760 -3.811 3.822
3.760 3.811 -3.822
Ta Cu O
4 2 12
direct
0.000 0.000 0.500
0.000 0.500 0.000
0.500 0.000 0.000
0.500 0.500 0.500
0.000 0.000 0.000
0.500 0.500 0.000
0.096 0.793 0.304
0.177 0.371 0.194
0.177 0.984 0.806
0.316 0.312 0.628
0.316 0.688 0.004
0.489 0.793 0.696
0.511 0.207 0.304
0.684 0.312 0.996
0.684 0.688 0.372
0.823 0.016 0.194
0.823 0.629 0.806
0.904 0.207 0.696
```

Output
The calculation puts the raw formation energy at -2.2950 eV per atom. Its total DFT energy (no corrections) is -78.21 eV per formula unit. The value obtained for the energy above the most stable polymorph in this dataset is 0.000 eV/atom.

---

No. 9
The following is a PBE calculation of an optimized crystal structure of TaCuTeO6, from Alexandria.

Cell and atoms, written as POSCAR:
```
TaCuTeO6
1.0
5.291 0.000 0.000
-2.646 4.582 0.000
0.000 0.000 9.333
Ta Cu Te O
2 2 2 12
direct
0.333 0.667 0.250
0.667 0.333 0.750
0.000 0.000 0.000
0.000 0.000 0.500
0.333 0.667 0.750
0.667 0.333 0.250
0.004 0.365 0.635
0.004 0.639 0.865
0.361 0.365 0.865
0.361 0.996 0.635
0.365 0.004 0.135
0.365 0.361 0.365
0.635 0.639 0.635
0.635 0.996 0.865
0.639 0.004 0.365
0.639 0.635 0.135
0.996 0.361 0.135
0.996 0.635 0.365
```

Output
The calculation puts the raw formation energy at -1.4462 eV per atom. Its total DFT energy (no corrections) is -61.86 eV per formula unit.

---

No. 10
The following is a PBE calculation of an optimized crystal structure of TaTl3Cu2O6, from Alexandria.

Cell and atoms, written as POSCAR:
```
TaTl3Cu2O6
1.0
5.976 0.000 0.000
-2.988 5.175 0.000
0.000 0.000 7.156
Ta Tl Cu O
1 3 2 6
direct
0.000 0.000 0.000
0.000 0.000 0.500
0.333 0.667 0.238
0.667 0.333 0.762
0.333 0.667 0.832
0.667 0.333 0.168
0.154 0.308 0.830
0.154 0.846 0.830
0.308 0.154 0.170
0.692 0.846 0.830
0.846 0.154 0.170
0.846 0.692 0.170
```

Output
The calculation puts the raw formation energy at -1.1552 eV per atom. Its total DFT energy (no corrections) is -70.76 eV per formula unit.

---

no.,total moment (μB/f.u.)
1,0.989
2,0.990
3,0.000
4,0.120
5,7.008
6,1.004
7,1.006
8,0.995
9,0.118
10,2.034